First-principles (PBE-GGA) data for RbCuTcI2 after structural relaxation, as listed in Alexandria.

Calculated values
The calculation puts the density of states at the Fermi level at 1.128 states/eV/atom. The formation energy from raw total energies is 141.9 kJ/mol of atoms. The total energy is -2.236 eV per atom. The crystal system is tetragonal. The mass density comes out at 2.85 g cm⁻³.

abc: 6.7346 6.7346 6.4337
angles: 90.00 90.00 90.00
Last column: nearest neighbours and their distance in Å.
Positions (direct):
Rb1 0.0000 0.0000 0.0000  2 Tc 3.22, 4 I 3.37
Cu1 0.5000 0.5000 0.5000  8 I 4.66, 4 Tc 4.76
Tc1 0.0000 0.0000 0.5000  2 Rb 3.22
I1 0.0000 0.5000 0.0000  2 Rb 3.37
I2 0.5000 0.0000 0.0000  2 Rb 3.37


First-principles (PBE-GGA) data for RbCuTcI6 after structural relaxation, as listed in Alexandria.

Calculated values
The calculation puts the density of states at the Fermi level at 1.106 states/eV/atom. The formation energy from raw total energies is -34.3 kJ/mol of atoms. The total energy is -3.103 eV per atom. The crystal system is monoclinic. The mass density comes out at 4.37 g cm⁻³.

abc: 7.3036 7.3036 8.3067
angles: 90.04 90.04 120.08
Last column: nearest neighbours and their distance in Å.
Positions (direct):
Rb1 0.0000 0.0000 0.0000  6 I 3.74
Cu1 0.3335 0.6665 0.5000  6 I 2.84-2.85
Tc1 0.6666 0.3334 0.5000  6 I 2.75
I1 0.3743 0.0098 0.3112  1 Tc 2.75, 1 Cu 2.85
I2 0.3744 0.3640 0.6885  1 Tc 2.75, 1 Cu 2.84
I3 0.6357 0.0097 0.6882  1 Tc 2.75, 1 Cu 2.84
I4 0.6360 0.6256 0.3115  1 Tc 2.75, 1 Cu 2.84
I5 0.9903 0.3643 0.3118  1 Tc 2.75, 1 Cu 2.84
I6 0.9902 0.6257 0.6888  1 Tc 2.75, 1 Cu 2.85


First-principles (PBE-GGA) data for RbCuTeI2 after structural relaxation, as listed in Alexandria.

Calculated values
The calculation puts the density of states at the Fermi level at 1.326 states/eV/atom. The formation energy from raw total energies is 64.7 kJ/mol of atoms. As for the excess energy over the best structure of this formula in the dataset: 1059 meV/atom. The total energy is -1.591 eV per atom. The crystal system is tetragonal. The mass density comes out at 2.80 g cm⁻³.

abc: 6.8268 6.8268 6.7548
angles: 90.00 90.00 90.00
Last column: nearest neighbours and their distance in Å.
Positions (direct):
Rb1 0.0000 0.0000 0.0000  2 Te 3.38, 4 I 3.41
Cu1 0.5000 0.5000 0.5000  8 I 4.80, 4 Te 4.83
Te1 0.0000 0.0000 0.5000  2 Rb 3.38
I1 0.0000 0.5000 0.0000  2 Rb 3.41
I2 0.5000 0.0000 0.0000  2 Rb 3.41


First-principles (PBE-GGA) data for RbCuTeI2 after structural relaxation, as listed in Alexandria.

Calculated values
The calculation puts the density of states at the Fermi level at 0.769 states/eV/atom. The formation energy from raw total energies is -37.5 kJ/mol of atoms. As for the excess energy over the best structure of this formula in the dataset: 0 meV/atom. The total energy is -2.650 eV per atom. The crystal system is tetragonal. The mass density comes out at 5.00 g cm⁻³.

abc: 5.8455 5.8455 5.1599
angles: 90.00 90.00 90.00
Last column: nearest neighbours and their distance in Å.
Positions (direct):
Rb1 0.0000 0.0000 0.0000  8 I 3.90, 4 Te 4.13
Cu1 0.5000 0.5000 0.5000  2 Te 2.58
Te1 0.5000 0.5000 0.0000  2 Cu 2.58
I1 0.0000 0.5000 0.5000  2 Cu 2.92
I2 0.5000 0.0000 0.5000  2 Cu 2.92


First-principles (PBE-GGA) data for RbCuTeI5 after structural relaxation, as listed in Alexandria.

Calculated values
The calculation puts the density of states at the Fermi level at 0.212 states/eV/atom. The formation energy from raw total energies is -41.9 kJ/mol of atoms. The total energy is -2.428 eV per atom. The crystal system is monoclinic. The mass density comes out at 4.09 g cm⁻³.

abc: 8.2251 8.2251 12.0895
angles: 104.17 104.17 101.37
Last column: nearest neighbours and their distance in Å.
Positions (direct):
Rb1 0.0825 0.9175 0.7500  5 I 3.59-3.78
Rb2 0.9175 0.0825 0.2500  5 I 3.59-3.78
Cu1 0.4513 0.5487 0.7500  4 I 2.61-2.67
Cu2 0.5487 0.4513 0.2500  4 I 2.61-2.67
Te1 0.0000 0.5000 0.0000  6 I 3.03-3.20
Te2 0.5000 0.0000 0.5000  6 I 3.03-3.20
I1 0.1996 0.8004 0.2500  2 Te 3.20
I2 0.2291 0.2968 0.1113  1 Cu 2.61
I3 0.2931 0.6487 0.9123  1 Cu 2.67
I4 0.2968 0.2291 0.6113  1 Cu 2.61
I5 0.3513 0.7069 0.5877  1 Cu 2.67
I6 0.6487 0.2931 0.4123  1 Cu 2.67
I7 0.7032 0.7709 0.3887  1 Cu 2.61
I8 0.7069 0.3513 0.0877  1 Cu 2.67
I9 0.7709 0.7032 0.8887  1 Cu 2.61
I10 0.8004 0.1996 0.7500  2 Te 3.20


First-principles (PBE-GGA) data for RbThCu2I8 after structural relaxation, as listed in Alexandria.

Calculated values
The calculation puts the density of states at the Fermi level at 1.288 states/eV/atom. The formation energy from raw total energies is -72.6 kJ/mol of atoms. The total energy is -3.168 eV per atom. The crystal system is monoclinic. The mass density comes out at 4.36 g cm⁻³.

abc: 7.4784 7.4784 10.6842
angles: 92.54 92.54 68.63
Last column: nearest neighbours and their distance in Å.
Positions (direct):
Rb1 0.0000 0.0000 0.0000  6 I 3.73-3.80
Th1 0.0000 0.0000 0.5000  6 I 3.07-3.10
Cu1 0.3591 0.3591 0.7313  4 I 2.49-2.73
Cu2 0.6409 0.6409 0.2687  4 I 2.49-2.73
I1 0.2487 0.2487 0.5152  1 Cu 2.62
I2 0.2547 0.7424 0.2923  1 Cu 2.73
I3 0.2576 0.7453 0.7077  1 Cu 2.73
I4 0.2968 0.2968 0.9495  1 Cu 2.49
I5 0.7032 0.7032 0.0505  1 Cu 2.49
I6 0.7424 0.2547 0.2923  1 Cu 2.73
I7 0.7453 0.2576 0.7077  1 Cu 2.73
I8 0.7513 0.7513 0.4848  1 Cu 2.62


First-principles (PBE-GGA) data for RbTlCuI3 after structural relaxation, as listed in Alexandria.

Calculated values
The calculation puts the density of states at the Fermi level at 0.000 states/eV/atom. The formation energy from raw total energies is -71.4 kJ/mol of atoms. The total energy is -2.754 eV per atom. The crystal system is orthorhombic. The mass density comes out at 4.84 g cm⁻³.

abc: 8.0932 8.0932 13.8649
angles: 90.00 90.00 146.27
Last column: nearest neighbours and their distance in Å.
Positions (direct):
Rb1 0.2375 0.7625 0.7500  6 I 3.69-3.80, 2 Cu 4.02
Rb2 0.7625 0.2375 0.2500  6 I 3.69-3.80, 2 Cu 4.02
Tl1 0.5000 0.5000 0.0000  6 I 3.50-3.53
Tl2 0.5000 0.5000 0.5000  6 I 3.50-3.53
Cu1 0.0521 0.9479 0.2500  4 I 2.63-2.79
Cu2 0.9479 0.0521 0.7500  4 I 2.63-2.79
I1 0.1456 0.8544 0.0920  1 Cu 2.63
I2 0.1456 0.8544 0.4080  1 Cu 2.63
I3 0.4553 0.5447 0.2500  2 Cu 2.79
I4 0.5447 0.4553 0.7500  2 Cu 2.79
I5 0.8544 0.1456 0.5920  1 Cu 2.63
I6 0.8544 0.1456 0.9080  1 Cu 2.63


First-principles (PBE-GGA) data for Rb2TlCuI6 after structural relaxation, as listed in Alexandria.

Calculated values
The calculation puts the density of states at the Fermi level at 0.344 states/eV/atom. The formation energy from raw total energies is -67.4 kJ/mol of atoms. The total energy is -2.468 eV per atom. The crystal system is cubic. The mass density comes out at 4.79 g cm⁻³.

abc: 8.3805 8.3805 8.3805
angles: 60.00 60.00 60.00
Last column: nearest neighbours and their distance in Å.
Positions (direct):
Rb1 0.2500 0.2500 0.2500  12 I 4.19
Rb2 0.7500 0.7500 0.7500  12 I 4.19
Tl1 0.0000 0.0000 0.0000  6 I 3.13
Cu1 0.5000 0.5000 0.5000  6 I 2.80
I1 0.2638 0.2638 0.7362  1 Cu 2.80, 1 Tl 3.13
I2 0.2638 0.7362 0.2638  1 Cu 2.80, 1 Tl 3.13
I3 0.2638 0.7362 0.7362  1 Cu 2.80, 1 Tl 3.13
I4 0.7362 0.2638 0.2638  1 Cu 2.80, 1 Tl 3.13
I5 0.7362 0.2638 0.7362  1 Cu 2.80, 1 Tl 3.13
I6 0.7362 0.7362 0.2638  1 Cu 2.80, 1 Tl 3.13